A plane-wave DFT calculation with PBE-GGA was carried out for SrGd2Cd after structural relaxation.

Output
The calculation puts the energy above the lowest structure with this stoichiometry at 0.000 eV per atom. For the size of the total moment, the calculation gives 15.34 μB per formula unit. Its uncorrected energy is -7.75 eV/atom. For the energy relative to the elements, the calculation gives -60 meV/atom.

Structure (CIF):
```
data_SrGd2Cd
_cell_length_a 3.8373
_cell_length_b 3.8373
_cell_length_c 9.4462
_cell_angle_alpha 90.00
_cell_angle_beta 90.00
_cell_angle_gamma 90.00
_symmetry_space_group_name_H-M 'P 4/m m m'
_symmetry_Int_Tables_number 123
_symmetry_space_group_name_Hall '-P 4 2'
loop_
_atom_site_label
_atom_site_type_symbol
_atom_site_fract_x
_atom_site_fract_y
_atom_site_fract_z
_atom_site_occupancy
Sr1 Sr 0.0000 0.0000 0.0000 1
Gd1 Gd 0.5000 0.5000 0.3115 1
Cd1 Cd 0.0000 0.0000 0.5000 1
```